# 1
Entry from Alexandria: a geometry-optimized Sr2Ag2SnPd5 structure (GGA-PBE).

Cell lengths 10.1899, 10.1899, 3.9511 Å; angles 90.00, 90.00, 90.00 degrees
Closest atoms and distances in Å follow each position.
Space group P4/mbm (No. 127)
Asymmetric unit:
1 Sr 0.1713 0.3287 0.0000 (multiplicity 4)  3 Ag 2.88-3.09, 2 Pd 3.16
2 Ag 0.1289 0.6289 0.0000 (multiplicity 4)  6 Pd 2.71-2.77, 1 Sr 2.88
3 Sn 0.0000 0.0000 0.0000 (multiplicity 2)  8 Pd 2.86
4 Pd 0.0000 0.5000 0.5000 (multiplicity 2)  4 Ag 2.71
5 Pd 0.0566 0.8051 0.5000 (multiplicity 8)  2 Ag 2.77, 2 Sn 2.86, 2 Pd 2.92

For the density of states at the Fermi level, the calculation gives 0.510 states/eV per atom. The energy of formation from the pure elements is -42.7 kJ per mole of atoms. As for the total moment: 0.00 μB/cell.

=====

# 2
Entry from Alexandria: a geometry-optimized Tb3Sm2Ho6Mg structure (GGA-PBE).

Cell lengths 6.1044, 10.5840, 11.7079 Å; angles 90.00, 100.09, 90.00 degrees
Closest atoms and distances in Å follow each position.
Space group C2/m (No. 12)
Asymmetric unit:
1 Tb 0.0000 0.0000 0.0000 (multiplicity 2)  6 Tb 3.52-3.54, 6 Ho 3.52-3.53
2 Tb 0.0000 0.3342 0.0000 (multiplicity 4)  6 Tb 3.51-3.54, 6 Ho 3.51-3.54
3 Sm 0.0000 0.1662 0.5000 (multiplicity 4)  3 Sm 3.52-3.53, 3 Mg 3.52-3.53, 6 Ho 3.53-3.54
4 Ho 0.2487 0.3341 0.7498 (multiplicity 8)  6 Ho 3.51-3.54, 1 Mg 3.52, 3 Tb 3.53-3.54, 2 Sm 3.53
5 Ho 0.2493 0.5000 0.2490 (multiplicity 4)  3 Tb 3.51-3.52, 6 Ho 3.51-3.54, 2 Sm 3.54, 1 Mg 3.54
6 Mg 0.0000 0.5000 0.5000 (multiplicity 2)  6 Ho 3.52-3.54, 6 Sm 3.52-3.53

For the density of states at the Fermi level, the calculation gives 1.430 states/eV per atom. The energy of formation from the pure elements is 2.3 kJ per mole of atoms. As for the total moment: 0.00 μB/cell.

=====

# 3
Entry from Alexandria: a geometry-optimized PrHoGaAg structure (GGA-PBE).

Cell lengths 7.3708, 7.3708, 7.3708 Å; angles 90.00, 90.00, 90.00 degrees
Closest atoms and distances in Å follow each position.
Space group F-43m (No. 216)
Asymmetric unit:
1 Pr 0.0000 0.0000 0.0000 (multiplicity 4)  4 Ga 3.19, 4 Ag 3.19
2 Ho 0.0000 0.0000 0.5000 (multiplicity 4)  4 Ag 3.19, 4 Ga 3.19
3 Ga 0.2500 0.2500 0.2500 (multiplicity 4)  4 Ho 3.19, 4 Pr 3.19
4 Ag 0.2500 0.2500 0.7500 (multiplicity 4)  4 Pr 3.19, 4 Ho 3.19

For the density of states at the Fermi level, the calculation gives 0.905 states/eV per atom. The energy of formation from the pure elements is -40.1 kJ per mole of atoms. As for the total moment: 0.01 μB/cell.

=====

# 4
Entry from Alexandria: a geometry-optimized KCa2Y structure (GGA-PBE).

Cell lengths 8.1690, 10.9192, 3.7712 Å; angles 90.00, 90.10, 90.00 degrees
Closest atoms and distances in Å follow each position.
Space group C2/m (No. 12)
Asymmetric unit:
1 K 0.0000 0.0000 0.0000 (multiplicity 2)  2 K 3.77, 8 Ca 3.89-3.90, 2 Y 4.08
2 Ca 0.2500 0.2500 0.5000 (multiplicity 4)  4 Ca 3.77-4.08, 4 K 3.89-3.90, 4 Y 3.89-3.90
3 Y 0.0000 0.5000 0.0000 (multiplicity 2)  2 Y 3.77, 8 Ca 3.89-3.90, 2 K 4.08

For the energy above the lowest structure with this stoichiometry, the calculation gives 132.6 meV per atom. For the density of states at the Fermi level, the calculation gives 1.576 states/eV per atom. The energy of formation from the pure elements is 27.7 kJ per mole of atoms. As for the total moment: 0.00 μB/cell.

=====

# 5
Entry from Alexandria: a geometry-optimized MgOs2Pt structure (GGA-PBE).

Cell lengths 9.1148, 2.7527, 4.8804 Å; angles 90.00, 98.41, 90.00 degrees
Closest atoms and distances in Å follow each position.
Space group Cm (No. 8)
Asymmetric unit:
1 Mg 0.0000 0.0000 0.0000 (multiplicity 2)  3 Pt 2.58-2.71, 5 Os 2.75-2.86, 2 Mg 2.75
2 Os 0.2383 0.0000 0.6828 (multiplicity 2)  5 Os 2.61-2.75, 4 Pt 2.78-2.83, 1 Mg 2.85
3 Os 0.4971 0.0000 0.5118 (multiplicity 2)  5 Os 2.61-2.75, 4 Mg 2.75-2.86, 2 Pt 2.89
4 Pt 0.2506 0.5000 0.1917 (multiplicity 2)  3 Mg 2.58-2.71, 2 Pt 2.75, 6 Os 2.78-2.89

For the density of states at the Fermi level, the calculation gives 0.681 states/eV per atom. The energy of formation from the pure elements is 1.0 kJ per mole of atoms. As for the total moment: 0.00 μB/cell.

=====

# 6
Entry from Alexandria: a geometry-optimized NdGdAg structure (GGA-PBE).

Cell lengths 3.6998, 3.6998, 12.5344 Å; angles 90.00, 90.00, 90.00 degrees
Closest atoms and distances in Å follow each position.
Space group I4mm (No. 107)
Asymmetric unit:
1 Nd 0.0000 0.0000 0.0000 (multiplicity 2)  4 Ag 3.27, 4 Gd 3.63
2 Gd 0.0000 0.0000 0.7012 (multiplicity 2)  4 Ag 3.17
3 Ag 0.0000 0.0000 0.3439 (multiplicity 2)  4 Gd 3.17, 4 Nd 3.27

For the energy above the lowest structure with this stoichiometry, the calculation gives 0.0 meV per atom. For the density of states at the Fermi level, the calculation gives 1.164 states/eV per atom. The energy of formation from the pure elements is -16.5 kJ per mole of atoms. As for the total moment: 16.15 μB/cell.

=====

# 7
Entry from Alexandria: a geometry-optimized FeOs structure (GGA-PBE).

Cell lengths 6.8771, 6.8771, 3.9634 Å; angles 90.00, 90.00, 120.00 degrees
Closest atoms and distances in Å follow each position.
Space group P6_3/m (No. 176)
Asymmetric unit:
1 Fe 0.0367 0.8150 0.2500 (multiplicity 6)  6 Fe 2.44-2.45, 5 Os 2.50-2.70
2 Os 0.1042 0.6283 0.7500 (multiplicity 6)  5 Fe 2.50-2.70, 4 Os 2.53-2.56

For the density of states at the Fermi level, the calculation gives 1.010 states/eV per atom. The energy of formation from the pure elements is 33.4 kJ per mole of atoms. As for the total moment: 0.00 μB/cell.

=====

# 8
Entry from Alexandria: a geometry-optimized TlAsPb2 structure (GGA-PBE).

Cell lengths 5.3238, 5.0562, 9.8075 Å; angles 90.00, 105.62, 90.00 degrees
Closest atoms and distances in Å follow each position.
Space group P2_1/m (No. 11)
Asymmetric unit:
1 Tl 0.0628 0.2500 0.1268 (multiplicity 2)  2 As 3.15, 2 Tl 3.48, 2 Pb 3.50-3.51
2 As 0.1638 0.7500 0.3251 (multiplicity 2)  6 Pb 3.07-3.33, 2 Tl 3.15
3 Pb 0.2561 0.2500 0.5116 (multiplicity 2)  4 As 3.07-3.08
4 Pb 0.4420 0.2500 0.8850 (multiplicity 2)  2 As 3.31-3.33, 3 Pb 3.33-3.53, 6 Tl 3.50-3.68

For the energy above the lowest structure with this stoichiometry, the calculation gives 22.4 meV per atom. For the density of states at the Fermi level, the calculation gives 0.365 states/eV per atom. The energy of formation from the pure elements is 4.4 kJ per mole of atoms. As for the total moment: 0.00 μB/cell.

=====

# 9
Entry from Alexandria: a geometry-optimized YHg structure (GGA-PBE).

Cell lengths 6.1554, 6.1554, 6.1554 Å; angles 90.00, 90.00, 90.00 degrees
Closest atoms and distances in Å follow each position.
Space group Fm-3m (No. 225)
Asymmetric unit:
1 Y 0.0000 0.0000 0.0000 (multiplicity 4)  6 Hg 3.08
2 Hg 0.0000 0.0000 0.5000 (multiplicity 4)  6 Y 3.08

For the density of states at the Fermi level, the calculation gives 1.126 states/eV per atom. The energy of formation from the pure elements is -26.6 kJ per mole of atoms. As for the total moment: 0.00 μB/cell.

=====

# 10
Entry from Alexandria: a geometry-optimized Ac2Al4SiPt3 structure (GGA-PBE).

Cell lengths 4.4449, 4.4449, 10.4097 Å; angles 90.00, 90.00, 90.00 degrees
Closest atoms and distances in Å follow each position.
Space group P-4m2 (No. 115)
Asymmetric unit:
1 Ac 0.0000 0.5000 0.2467 (multiplicity 2)  8 Al 3.37-3.45, 2 Si 3.40, 6 Pt 3.40-3.41
2 Al 0.0000 0.0000 0.5000 (multiplicity 1)  4 Pt 2.59
3 Al 0.0000 0.5000 0.8710 (multiplicity 2)  3 Pt 2.54-2.60, 2 Si 2.60
4 Al 0.5000 0.5000 0.5000 (multiplicity 1)  4 Pt 2.59
5 Si 0.5000 0.5000 0.0000 (multiplicity 1)  4 Al 2.60
6 Pt 0.0000 0.0000 0.0000 (multiplicity 1)  4 Al 2.60
7 Pt 0.0000 0.5000 0.6274 (multiplicity 2)  5 Al 2.54-2.59

As for the calculated total energy: -56.2 eV per cell. For the density of states at the Fermi level, the calculation gives 0.802 states/eV per atom. As for the total moment: 0.00 μB/cell.

=====

# 11
Entry from Alexandria: a geometry-optimized Co3SbBr structure (GGA-PBE).

Cell lengths 4.9238, 4.9238, 4.9238 Å; angles 90.00, 90.00, 90.00 degrees
Closest atoms and distances in Å follow each position.
Space group Pm-3m (No. 221)
Asymmetric unit:
1 Co 0.0000 0.0000 0.5000 (multiplicity 3)  2 Sb 2.46
2 Sb 0.0000 0.0000 0.0000 (multiplicity 1)  6 Co 2.46
3 Br 0.5000 0.5000 0.5000 (multiplicity 1)  12 Co 3.48

For the energy above the lowest structure with this stoichiometry, the calculation gives 99.6 meV per atom. For the density of states at the Fermi level, the calculation gives 2.326 states/eV per atom. As for the total moment: 7.00 μB/cell.

=====

# 12
Entry from Alexandria: a geometry-optimized Ba2CoPb structure (GGA-PBE).

Cell lengths 7.8805, 7.8805, 7.8805 Å; angles 90.00, 90.00, 90.00 degrees
Closest atoms and distances in Å follow each position.
Space group F-43m (No. 216)
Asymmetric unit:
1 Ba 0.0000 0.0000 0.0000 (multiplicity 4)  4 Ba 3.41, 4 Pb 3.41
2 Ba 0.2500 0.2500 0.2500 (multiplicity 4)  4 Ba 3.41, 4 Co 3.41
3 Co 0.0000 0.0000 0.5000 (multiplicity 4)  4 Pb 3.41, 4 Ba 3.41
4 Pb 0.2500 0.2500 0.7500 (multiplicity 4)  4 Ba 3.41, 4 Co 3.41

For the density of states at the Fermi level, the calculation gives 1.997 states/eV per atom. The energy of formation from the pure elements is 28.0 kJ per mole of atoms. As for the total moment: 4.02 μB/cell.

=====

# 13
Entry from Alexandria: a geometry-optimized Li2ZrPb structure (GGA-PBE).

Cell lengths 3.1507, 3.1507, 8.4452 Å; angles 90.00, 90.00, 90.00 degrees
Closest atoms and distances in Å follow each position.
Space group P4/mmm (No. 123)
Asymmetric unit:
1 Li 0.0000 0.0000 0.2364 (multiplicity 2)  4 Pb 2.99, 4 Zr 3.15, 4 Li 3.15
2 Zr 0.5000 0.5000 0.5000 (multiplicity 1)  8 Li 3.15, 4 Zr 3.15
3 Pb 0.5000 0.5000 0.0000 (multiplicity 1)  8 Li 2.99, 4 Pb 3.15

For the density of states at the Fermi level, the calculation gives 0.722 states/eV per atom. The energy of formation from the pure elements is 9.2 kJ per mole of atoms. As for the total moment: 0.00 μB/cell.

=====

# 14
Entry from Alexandria: a geometry-optimized LiTbTmBe structure (GGA-PBE).

Cell lengths 7.0129, 7.0129, 7.0129 Å; angles 90.00, 90.00, 90.00 degrees
Closest atoms and distances in Å follow each position.
Space group F-43m (No. 216)
Asymmetric unit:
1 Li 0.0000 0.0000 0.0000 (multiplicity 4)  4 Tb 3.04, 4 Tm 3.04
2 Tb 0.2500 0.2500 0.2500 (multiplicity 4)  4 Li 3.04, 4 Be 3.04
3 Tm 0.2500 0.2500 0.7500 (multiplicity 4)  4 Li 3.04, 4 Be 3.04
4 Be 0.0000 0.0000 0.5000 (multiplicity 4)  4 Tm 3.04, 4 Tb 3.04

For the density of states at the Fermi level, the calculation gives 1.152 states/eV per atom. The energy of formation from the pure elements is 12.8 kJ per mole of atoms. As for the total moment: 0.00 μB/cell.

=====

# 15
Entry from Alexandria: a geometry-optimized HgOsF2 structure (GGA-PBE).

Cell lengths 4.1105, 4.1105, 15.3167 Å; angles 90.00, 90.00, 90.00 degrees
Closest atoms and distances in Å follow each position.
Space group I-42d (No. 122)
Asymmetric unit:
1 Hg 0.0000 0.0000 0.0000 (multiplicity 4)  4 F 2.62, 4 Os 2.91
2 Os 0.0000 0.0000 0.5000 (multiplicity 4)  4 F 2.25
3 F 0.1429 0.2500 0.6250 (multiplicity 8)  2 Os 2.25, 2 F 2.37

For the energy above the lowest structure with this stoichiometry, the calculation gives 806.2 meV per atom. For the density of states at the Fermi level, the calculation gives 0.404 states/eV per atom. As for the total moment: 10.34 μB/cell.

=====

# 16
Entry from Alexandria: a geometry-optimized Pa2Si6OsRu structure (GGA-PBE).

Cell lengths 5.8249, 5.8249, 37.0441 Å; angles 90.00, 90.00, 120.00 degrees
Closest atoms and distances in Å follow each position.
Space group R-3m (No. 166, hexagonal axes)
Asymmetric unit:
1 Pa 0.0000 0.0000 0.1264 (multiplicity 6)  12 Si 2.93-3.19
2 Pa 0.0000 0.0000 0.2797 (multiplicity 6)  9 Si 2.93-3.11
3 Si 0.0546 0.5273 0.7196 (multiplicity 18)  1 Os 2.39, 1 Ru 2.41, 2 Si 2.44
4 Si 0.0634 0.5317 0.8709 (multiplicity 18)  2 Si 2.36, 1 Ru 2.44, 1 Os 2.47
5 Os 0.0000 0.0000 0.4232 (multiplicity 6)  6 Si 2.39-2.47
6 Ru 0.0000 0.0000 0.0000 (multiplicity 3)  6 Si 2.41
7 Ru 0.0000 0.0000 0.5000 (multiplicity 3)  6 Si 2.44

As for the calculated total energy: -451.5 eV per cell. For the density of states at the Fermi level, the calculation gives 0.983 states/eV per atom. As for the total moment: 10.30 μB/cell.

=====

# 17
Entry from Alexandria: a geometry-optimized Fe2Ir4Au structure (GGA-PBE).

Cell lengths 4.8166, 4.8166, 12.1552 Å; angles 90.00, 90.00, 90.00 degrees
Closest atoms and distances in Å follow each position.
Space group I4/mmm (No. 139)
Asymmetric unit:
1 Fe 0.0000 0.0000 0.0980 (multiplicity 4)  1 Ir 2.22, 1 Fe 2.38
2 Ir 0.0000 0.0000 0.2809 (multiplicity 4)  1 Fe 2.22
3 Ir 0.0000 0.5000 0.0000 (multiplicity 4)  2 Au 2.41, 4 Fe 2.69
4 Au 0.0000 0.0000 0.5000 (multiplicity 2)  6 Ir 2.41-2.66

For the density of states at the Fermi level, the calculation gives 1.685 states/eV per atom. The energy of formation from the pure elements is 177.2 kJ per mole of atoms. As for the total moment: 16.93 μB/cell.

=====

# 18
Entry from Alexandria: a geometry-optimized CeCo2Ni structure (GGA-PBE).

Cell lengths 4.9060, 4.9060, 24.9070 Å; angles 90.00, 90.00, 120.00 degrees
Closest atoms and distances in Å follow each position.
Space group R-3m (No. 166, hexagonal axes)
Asymmetric unit:
1 Ce 0.0000 0.0000 0.0000 (multiplicity 3)  6 Ni 2.83
2 Ce 0.0000 0.0000 0.1366 (multiplicity 6)  6 Co 2.81, 3 Ni 2.93
3 Co 0.0009 0.5005 0.9185 (multiplicity 18)  4 Co 2.45-2.46, 3 Ni 2.47-2.55
4 Ni 0.0000 0.0000 0.3334 (multiplicity 6)  6 Co 2.47-2.48
5 Ni 0.0000 0.0000 0.5000 (multiplicity 3)  6 Co 2.55

For the density of states at the Fermi level, the calculation gives 1.072 states/eV per atom. The energy of formation from the pure elements is -24.7 kJ per mole of atoms. As for the total moment: 11.54 μB/cell.

=====

# 19
Entry from Alexandria: a geometry-optimized Sb2TeIN structure (GGA-PBE).

Cell lengths 5.8412, 5.8412, 5.7823 Å; angles 90.00, 90.00, 90.00 degrees
Closest atoms and distances in Å follow each position.
Space group P4/mmm (No. 123)
Asymmetric unit:
1 Sb 0.0000 0.5000 0.0000 (multiplicity 2)  2 Te 2.92
2 Te 0.0000 0.0000 0.0000 (multiplicity 1)  2 I 2.89, 4 Sb 2.92
3 I 0.0000 0.0000 0.5000 (multiplicity 1)  2 Te 2.89
4 N 0.5000 0.5000 0.5000 (multiplicity 1)  8 Sb 4.11, 4 I 4.13

For the energy above the lowest structure with this stoichiometry, the calculation gives 1242.7 meV per atom. For the density of states at the Fermi level, the calculation gives 2.593 states/eV per atom. As for the total moment: 0.00 μB/cell.

=====

# 20
Entry from Alexandria: a geometry-optimized Ba2SbH2 structure (GGA-PBE).

Cell lengths 8.4004, 8.4004, 3.4918 Å; angles 90.00, 90.00, 90.00 degrees
Closest atoms and distances in Å follow each position.
Space group P4/mbm (No. 127)
Asymmetric unit:
1 Ba 0.1608 0.3392 0.0000 (multiplicity 4)  4 H 2.86
2 Sb 0.0000 0.0000 0.5000 (multiplicity 2)  4 H 3.45, 2 Sb 3.49, 8 Ba 3.60
3 H 0.1028 0.6028 0.5000 (multiplicity 4)  1 H 2.44

For the energy above the lowest structure with this stoichiometry, the calculation gives 191.7 meV per atom. For the density of states at the Fermi level, the calculation gives 0.206 states/eV per atom. As for the total moment: 0.00 μB/cell.